## CaIn2Ga (GGA-PBE)

Data for CaIn2Ga after structural relaxation. Values from VASP.

Calculated values
DOS at the Fermi energy in states/eV/f.u.: 2.42
Calculated volume in Å³ per cell: 101.8
Energy in eV per cell: -11.431

The structure in Quantum ESPRESSO input format:
```
&SYSTEM
  ibrav = 0, nat = 4, ntyp = 3
/
ATOMIC_SPECIES
Ca 40.08 Ca.upf
In 114.82 In.upf
Ga 69.72 Ga.upf
CELL_PARAMETERS angstrom
3.742 0.000 0.000
0.000 3.742 0.000
0.000 0.000 7.271
ATOMIC_POSITIONS crystal
Ca 0.000 0.000 0.000
In 0.500 0.500 0.287
In 0.500 0.500 0.713
Ga 0.000 0.000 0.500
```